Entry w
Compound: NaCaGd
Source: Alexandria via LeMat-Bulk
Functional: GGA-PBE
Structure: optimized geometry

The structure belongs to space group P3m1 (No. 156); the cell edges are 3.6836, 3.6836 and 9.4352 Å and the angles 90.00°, 90.00° and 120.00°. The inequivalent atoms are Na at (0.0000, 0.0000, 0.0000), Ca at (0.6667, 0.3333, 0.3489) and Gd at (0.3333, 0.6667, 0.6671).

The calculation puts the magnetization at 7.81 Bohr magnetons per cell.

Entry x
Compound: NaCaGd
Source: Alexandria via LeMat-Bulk
Functional: GGA-PBE
Structure: optimized geometry

The structure belongs to space group I4mm (No. 107); the cell edges are 3.6272, 3.6272 and 16.6725 Å and the angles 90.00°, 90.00° and 90.00°. The inequivalent atoms are Na at (0.0000, 0.0000, 0.0000), Ca at (0.0000, 0.0000, 0.6734) and Gd at (0.0000, 0.0000, 0.3346).

The calculation puts the magnetization at 15.49 Bohr magnetons per cell.

Name the least stable of them. entry x.

Entry w
Compound: SrCaGdNbO6
Source: Alexandria via LeMat-Bulk
Functional: GGA-PBE
Structure: optimized geometry

The structure belongs to space group F-43m (No. 216); the cell edges are 8.4666, 8.4666 and 8.4666 Å and the angles 90.00°, 90.00° and 90.00°. The inequivalent atoms are Sr at (0.0000, 0.0000, 0.0000), Ca at (0.0000, 0.0000, 0.5000), Gd at (0.2500, 0.2500, 0.7500), Nb at (0.2500, 0.2500, 0.2500) and O at (0.0135, 0.2500, 0.2500).

The calculation puts the magnetization at 28.00 Bohr magnetons per cell.

Entry x
Compound: SrCaGdNbO6
Source: Alexandria via LeMat-Bulk
Functional: GGA-PBE
Structure: optimized geometry

The structure belongs to space group P-4n2 (No. 118); the cell edges are 5.8208, 5.8208 and 8.5227 Å and the angles 90.00°, 90.00° and 90.00°. The inequivalent atoms are Sr at (0.0000, 0.5000, 0.2500), Ca at (0.0000, 0.5000, 0.7500), Gd at (0.0000, 0.0000, 0.5000), Nb at (0.0000, 0.0000, 0.0000), O at (0.0000, 0.0000, 0.2370) and O at (0.1583, 0.3083, 0.9861).

The calculation puts the magnetization at 13.98 Bohr magnetons per cell.

Name the least stable of them. entry w.

Entry w
Compound: CaNdGd
Source: Alexandria via LeMat-Bulk
Functional: GGA-PBE
Structure: optimized geometry

The structure belongs to space group P3m1 (No. 156); the cell edges are 3.6869, 3.6869 and 9.1783 Å and the angles 90.00°, 90.00° and 120.00°. The inequivalent atoms are Ca at (0.0000, 0.0000, 0.0000), Nd at (0.3333, 0.6667, 0.6512) and Gd at (0.6667, 0.3333, 0.3434).

The calculation puts the magnetization at 7.42 Bohr magnetons per cell.

Entry x
Compound: CaNdGd
Source: Alexandria via LeMat-Bulk
Functional: GGA-PBE
Structure: optimized geometry

The structure belongs to space group I4mm (No. 107); the cell edges are 3.7038, 3.7038 and 15.7268 Å and the angles 90.00°, 90.00° and 90.00°. The inequivalent atoms are Ca at (0.0000, 0.0000, 0.0000), Nd at (0.0000, 0.0000, 0.6759) and Gd at (0.0000, 0.0000, 0.3250).

The calculation puts the magnetization at 14.74 Bohr magnetons per cell.

Name the least stable of them. entry w.